Material: Dy6Y2TmTh
Method: DFT, GGA-PBE
State: relaxed

a = 8.981 Å, b = 8.932 Å, c = 8.932 Å
α = 116.29°, β = 90.85°, γ = 90.85°
Element x y z (fractional)
Dy 0.062 0.126 0.780
Dy 0.438 0.220 0.874
Dy 0.938 0.874 0.220
Dy 0.562 0.780 0.126
Dy 0.302 0.003 0.436
Dy 0.198 0.564 0.997
Dy 0.698 0.997 0.564
Dy 0.802 0.436 0.003
Dy 0.100 0.723 0.477
Dy 0.400 0.523 0.277
Dy 0.900 0.277 0.523
Dy 0.600 0.477 0.723
Y 0.439 0.795 0.684
Y 0.061 0.316 0.205
Y 0.561 0.205 0.316
Y 0.939 0.684 0.795
Tm 0.250 0.422 0.578
Tm 0.750 0.578 0.422
Th 0.250 0.964 0.036
Th 0.750 0.036 0.964

## Properties
* symmetry: C2/c

---

Material: DyY2Tm5Th
Method: DFT, GGA-PBE
State: relaxed

a = 5.645 Å, b = 10.982 Å, c = 9.683 Å
α = 90.00°, β = 90.00°, γ = 104.89°
Element x y z (fractional)
Dy 0.807 0.615 0.518
Dy 0.193 0.385 0.018
Y 0.886 0.772 0.827
Y 0.130 0.260 0.711
Y 0.114 0.228 0.327
Y 0.870 0.740 0.211
Tm 0.398 0.796 0.039
Tm 0.730 0.459 0.828
Tm 0.470 0.940 0.740
Tm 0.305 0.611 0.717
Tm 0.985 0.970 0.519
Tm 0.602 0.204 0.539
Tm 0.270 0.541 0.328
Tm 0.530 0.060 0.240
Tm 0.695 0.389 0.217
Tm 0.015 0.030 0.019
Th 0.594 0.189 0.924
Th 0.406 0.811 0.424

## Properties
* symmetry: Cmc2_1

---

Material: Dy2YTmTh
Method: DFT, GGA-PBE
State: relaxed

a = 6.356 Å, b = 6.386 Å, c = 8.890 Å
α = 111.05°, β = 90.00°, γ = 90.00°
Element x y z (fractional)
Dy 0.500 0.248 0.000
Dy 0.000 0.752 0.000
Dy 0.500 0.752 0.000
Dy 0.000 0.248 0.000
Y 0.250 0.657 0.314
Y 0.750 0.343 0.686
Tm 0.750 0.760 0.521
Tm 0.250 0.240 0.479
Th 0.250 0.844 0.687
Th 0.750 0.156 0.313

## Properties
* symmetry: Cmcm

---

Material: Dy3Y6Tm2Th
Method: DFT, GGA-PBE
State: relaxed

a = 6.153 Å, b = 6.153 Å, c = 11.787 Å
α = 95.00°, β = 95.00°, γ = 119.97°
Element x y z (fractional)
Dy 0.167 0.833 0.500
Dy 0.833 0.167 0.500
Dy 0.500 0.500 0.500
Y 0.916 0.585 0.751
Y 0.753 0.753 0.249
Y 0.084 0.415 0.249
Y 0.585 0.916 0.751
Y 0.247 0.247 0.751
Y 0.415 0.084 0.249
Tm 0.333 0.667 0.000
Tm 0.667 0.333 0.000
Th 0.000 0.000 0.000

## Properties
* symmetry: C2/m

---

Material: DyY3Tm6Th2
Method: DFT, GGA-PBE
State: relaxed

a = 6.123 Å, b = 6.123 Å, c = 11.667 Å
α = 95.03°, β = 95.03°, γ = 119.96°
Element x y z (fractional)
Dy 0.000 0.000 0.000
Y 0.166 0.834 0.500
Y 0.834 0.166 0.500
Y 0.500 0.500 0.500
Tm 0.917 0.580 0.753
Tm 0.746 0.746 0.247
Tm 0.083 0.420 0.247
Tm 0.580 0.917 0.753
Tm 0.254 0.254 0.753
Tm 0.420 0.083 0.247
Th 0.333 0.667 0.000
Th 0.667 0.333 0.000

## Properties
* symmetry: C2/m

---

Material: Dy2YTm5Th
Method: DFT, GGA-PBE
State: relaxed

a = 8.731 Å, b = 8.731 Å, c = 9.629 Å
α = 116.96°, β = 116.96°, γ = 90.00°
Element x y z (fractional)
Dy 0.114 0.386 0.000
Dy 0.614 0.114 0.000
Dy 0.386 0.886 0.000
Dy 0.886 0.614 0.000
Y 0.250 0.750 0.500
Y 0.750 0.250 0.500
Tm 0.926 0.426 0.271
Tm 0.655 0.155 0.729
Tm 0.074 0.574 0.729
Tm 0.155 0.074 0.729
Tm 0.574 0.655 0.729
Tm 0.845 0.926 0.271
Tm 0.426 0.345 0.271
Tm 0.345 0.845 0.271
Tm 0.500 0.500 0.000
Tm 0.000 0.000 0.000
Th 0.250 0.250 0.500
Th 0.750 0.750 0.500

## Properties
* symmetry: I4/mcm

---

Material: Dy2YTm2Th
Method: DFT, GGA-PBE
State: relaxed

a = 6.709 Å, b = 8.839 Å, c = 6.499 Å
α = 97.75°, β = 90.00°, γ = 90.00°
Element x y z (fractional)
Dy 0.250 0.154 0.678
Dy 0.250 0.520 0.581
Dy 0.750 0.846 0.322
Dy 0.750 0.480 0.419
Y 0.750 0.168 0.693
Y 0.250 0.832 0.307
Tm 0.497 0.161 0.185
Tm 0.003 0.161 0.185
Tm 0.997 0.839 0.815
Tm 0.503 0.839 0.815
Th 0.250 0.471 0.064
Th 0.750 0.529 0.936

## Properties
* symmetry: P2_1/m

---

Material: DyYTmTh2
Method: DFT, GGA-PBE
State: relaxed

a = 6.633 Å, b = 6.630 Å, c = 8.479 Å
α = 113.02°, β = 90.00°, γ = 90.00°
Element x y z (fractional)
Dy 0.750 0.748 0.496
Dy 0.250 0.252 0.504
Y 0.250 0.653 0.306
Y 0.750 0.347 0.694
Tm 0.250 0.849 0.698
Tm 0.750 0.151 0.302
Th 0.500 0.249 0.000
Th 0.000 0.751 0.000
Th 0.500 0.751 0.000
Th 0.000 0.249 0.000

## Properties
* symmetry: Cmcm

---

Values of energy of formation from the pure elements, in order: 148, 147, 200, 30, 30, 277, 99, 206, all in kJ/mol of formula units.